Compound: ScNiAs2Se
Source: Alexandria via LeMat-Bulk
Functional: PBE-GGA
Structure: optimized geometry

Summary:
**Symmetry**: P4/mmm (123)
**Energy relative to the elements, uncorrected**: 0.547 eV per atom

```
5
Lattice="5.070 0.000 0.000 0.000 5.070 0.000 0.000 0.000 5.032" Properties=species:S:1:pos:R:3 pbc="T T T"
Sc 0.000 0.000 0.000
Ni 2.535 2.535 2.516
As 0.000 2.535 0.000
As 2.535 0.000 0.000
Se 0.000 0.000 2.516
```

=====

Compound: Na2NO
Source: Alexandria via LeMat-Bulk
Functional: PBE-GGA
Structure: optimized geometry

Summary:
**Symmetry**: I-42d (122)
**Energy relative to the elements, uncorrected**: 0.385 eV per atom

```
8
Lattice="-3.269 3.269 2.423 3.269 -3.269 2.423 3.269 3.269 -2.423" Properties=species:S:1:pos:R:3 pbc="T T T"
Na 4.903 1.415 -0.606
Na 1.415 1.634 0.606
Na -1.634 1.854 1.818
Na 1.854 1.634 3.029
N 3.269 0.000 1.212
N 0.000 0.000 2.423
O 0.000 0.000 0.000
O 0.000 3.269 1.212
```

=====

Compound: Nd2Ge3Pt
Source: Alexandria via LeMat-Bulk
Functional: PBE-GGA
Structure: optimized geometry

Summary:
**Symmetry**: Pmm2 (25)
**Formation energy from the elements**: -0.88 eV per atom

```
6
Lattice="4.169 0.000 0.000 0.000 4.424 0.000 0.000 0.000 7.306" Properties=species:S:1:pos:R:3 pbc="T T T"
Nd 0.000 0.000 0.000
Nd 0.000 2.212 3.648
Ge 2.084 0.000 4.836
Ge 2.084 2.212 1.271
Ge 2.084 2.212 6.074
Pt 2.084 0.000 2.382
```

=====

Compound: Cs2P2Au
Source: Alexandria via LeMat-Bulk
Functional: PBE-GGA
Structure: optimized geometry

Summary:
**Symmetry**: I4/mmm (139)
**Formation energy from the elements**: -0.05 eV per atom

```
5
Lattice="-3.347 3.347 4.778 3.347 -3.347 4.778 3.347 3.347 -4.778" Properties=species:S:1:pos:R:3 pbc="T T T"
Cs 3.347 0.000 2.389
Cs 0.000 3.347 2.389
P 0.000 0.000 0.990
P 0.000 0.000 8.567
Au 0.000 0.000 4.778
```

=====

Compound: TbTm3Pb3
Source: Alexandria via LeMat-Bulk
Functional: PBE-GGA
Structure: optimized geometry

Summary:
**Symmetry**: R-3 (148)
**Formation energy from the elements**: -0.31 eV per atom

```
14
Lattice="4.559 2.632 6.072 -4.559 2.632 6.072 0.000 -5.265 6.072" Properties=species:S:1:pos:R:3 pbc="T T T"
Tb 0.000 0.000 3.097
Tb 0.000 0.000 15.119
Tm -2.270 0.002 7.564
Tm -1.137 -1.965 10.652
Tm 1.133 -1.967 7.564
Tm -1.133 1.967 10.652
Tm 1.137 1.965 7.564
Tm 2.270 -0.002 10.652
Pb -1.742 -3.115 7.609
Pb -3.568 -0.049 10.607
Pb -1.827 3.066 7.609
Pb 1.827 -3.066 10.607
Pb 3.568 0.049 7.609
Pb 1.742 3.115 10.607
```

=====

Compound: ZnMoBr2
Source: Alexandria via LeMat-Bulk
Functional: PBE-GGA
Structure: optimized geometry

Summary:
**Symmetry**: P4/mmm (123)
**Energy relative to the elements, uncorrected**: 0.692 eV per atom

```
4
Lattice="4.977 0.000 0.000 0.000 4.977 0.000 0.000 0.000 3.728" Properties=species:S:1:pos:R:3 pbc="T T T"
Zn 0.000 0.000 0.000
Mo 2.488 2.488 0.000
Br 0.000 2.488 1.864
Br 2.488 0.000 1.864
```